# 1
Here is crystalline NaTiCuBi2 at its relaxed geometry from Alexandria via LeMat-Bulk. Energies are from GGA-PBE.

Computed properties:
Formation energy (eV/atom): 1.21
Electronic total energy (eV/atom): -3.008

a = 5.360 Å, b = 4.992 Å, c = 5.360 Å
α = 90.00°, β = 90.00°, γ = 90.00°
Sites, in units of the cell vectors:
Bi1 0.000 0.000 0.500
Bi2 0.500 0.000 0.000
Na1 0.000 0.000 0.000
Cu1 0.500 0.500 0.500
Ti1 0.000 0.500 0.000


# 2
Here is crystalline ZnFeMo2 at its relaxed geometry from Alexandria via LeMat-Bulk. Energies are from GGA-PBE.

Computed properties:
Formation energy (eV/atom): 0.26
Electronic total energy (eV/atom): -7.592

a = 4.334 Å, b = 4.334 Å, c = 4.334 Å
α = 60.00°, β = 60.00°, γ = 60.00°
Sites, in units of the cell vectors:
Mo1 0.000 0.000 0.000
Zn1 0.750 0.750 0.750
Fe1 0.500 0.500 0.500
Mo2 0.250 0.250 0.250


# 3
Here is crystalline DySc2As at its relaxed geometry from Alexandria via LeMat-Bulk. Energies are from GGA-PBE.

Computed properties:
Formation energy (eV/atom): -0.53
Distance to the lowest polymorph of the same formula (meV/atom): 208
Electronic total energy (eV/atom): -6.007

a = 3.662 Å, b = 3.662 Å, c = 9.146 Å
α = 78.45°, β = 78.45°, γ = 60.00°
Sites, in units of the cell vectors:
As1 0.000 0.000 0.000
Sc1 0.273 0.273 0.180
Dy1 0.500 0.500 0.500
Sc2 0.727 0.727 0.820


# 4
Here is crystalline CaSiAs2 at its relaxed geometry from Alexandria via LeMat-Bulk. Energies are from GGA-PBE.

Computed properties:
Formation energy from raw total energies (meV/atom): -257
Electronic total energy (eV/atom): -4.438

a = 3.660 Å, b = 3.660 Å, c = 7.258 Å
α = 90.00°, β = 90.00°, γ = 90.00°
Sites, in units of the cell vectors:
As1 0.000 0.000 0.853
Si1 0.500 0.500 0.942
As2 0.500 0.500 0.265
Ca1 0.000 0.000 0.440


# 5
Here is crystalline Pm3EuN at its relaxed geometry from Alexandria via LeMat-Bulk. Energies are from GGA-PBE.

Computed properties:
Formation energy from raw total energies (meV/atom): -409
Electronic total energy (eV/atom): -6.980

a = 5.153 Å, b = 5.153 Å, c = 5.153 Å
α = 90.00°, β = 90.00°, γ = 90.00°
Sites, in units of the cell vectors:
Pm1 0.000 0.000 0.500
Pm2 0.500 0.000 0.000
N1 0.000 0.000 0.000
Eu1 0.500 0.500 0.500
Pm3 0.000 0.500 0.000


# 6
Here is crystalline SiMoBr at its relaxed geometry from Alexandria via LeMat-Bulk. Energies are from GGA-PBE.

Computed properties:
Formation energy from raw total energies (meV/atom): 575
Distance to the lowest polymorph of the same formula (meV/atom): 835
Electronic total energy (eV/atom): -5.401

a = 7.000 Å, b = 6.712 Å, c = 3.104 Å
α = 82.15°, β = 71.80°, γ = 26.06°
Sites, in units of the cell vectors:
Br1 0.986 0.986 0.014
Si1 0.688 0.688 0.312
Mo1 0.326 0.326 0.674


# 7
Here is crystalline Cr2AgAu at its relaxed geometry from Alexandria via LeMat-Bulk. Energies are from GGA-PBE.

Computed properties:
Formation energy (eV/atom): 0.22
Distance to the lowest polymorph of the same formula (meV/atom): 44
Electronic total energy (eV/atom): -6.121

a = 3.178 Å, b = 3.182 Å, c = 6.247 Å
α = 90.00°, β = 90.00°, γ = 90.00°
Sites, in units of the cell vectors:
Cr1 0.500 0.500 0.215
Ag1 0.000 0.000 0.486
Au1 0.500 0.500 0.767
Cr2 0.000 0.000 0.032


# 8
Here is crystalline ZrScO2 at its relaxed geometry from Alexandria via LeMat-Bulk. Energies are from GGA-PBE.

Computed properties:
Formation energy from raw total energies (meV/atom): -2433
Electronic total energy (eV/atom): -8.632

a = 4.966 Å, b = 4.966 Å, c = 6.057 Å
α = 65.80°, β = 65.80°, γ = 90.00°
Sites, in units of the cell vectors:
O1 0.875 0.867 0.750
Zr1 0.750 0.250 0.500
Sc1 0.250 0.750 0.500
O2 0.375 0.383 0.750
Zr2 0.000 0.000 0.000
O3 0.617 0.125 0.250
Sc2 0.500 0.500 0.000
O4 0.133 0.625 0.250


# 9
Here is crystalline ZnCo2Ru at its relaxed geometry from Alexandria via LeMat-Bulk. Energies are from GGA-PBE.

Computed properties:
Formation energy (eV/atom): 0.12
Electronic total energy (eV/atom): -6.071

a = 8.470 Å, b = 8.470 Å, c = 8.470 Å
α = 17.84°, β = 17.84°, γ = 17.84°
Sites, in units of the cell vectors:
Zn1 0.750 0.750 0.750
Co1 0.999 0.999 0.999
Co2 0.501 0.501 0.501
Ru1 0.250 0.250 0.250


# 10
Here is crystalline AlCdF2 at its relaxed geometry from Alexandria via LeMat-Bulk. Energies are from GGA-PBE.

Computed properties:
Formation energy from raw total energies (meV/atom): -1719
Distance to the lowest polymorph of the same formula (meV/atom): 0
Electronic total energy (eV/atom): -3.819

a = 6.082 Å, b = 6.082 Å, c = 6.082 Å
α = 60.00°, β = 60.00°, γ = 60.00°
Sites, in units of the cell vectors:
Al1 0.000 0.000 0.000
Cd1 0.500 0.500 0.500
Al2 0.250 0.250 0.250
F1 0.125 0.125 0.625
F2 0.625 0.125 0.125
F3 0.125 0.125 0.125
Cd2 0.750 0.750 0.750
F4 0.125 0.625 0.125


# 11
Here is crystalline AcEr2In at its relaxed geometry from Alexandria via LeMat-Bulk. Energies are from GGA-PBE.

Computed properties:
Formation energy (eV/atom): -0.01
Distance to the lowest polymorph of the same formula (meV/atom): 193
Electronic total energy (eV/atom): -4.000

a = 5.579 Å, b = 5.579 Å, c = 5.579 Å
α = 60.00°, β = 60.00°, γ = 60.00°
Sites, in units of the cell vectors:
Ac1 0.000 0.000 0.000
Er1 0.750 0.750 0.750
In1 0.500 0.500 0.500
Er2 0.250 0.250 0.250


# 12
Here is crystalline NaCdGa2 at its relaxed geometry from Alexandria via LeMat-Bulk. Energies are from GGA-PBE.

Computed properties:
Formation energy (eV/atom): 0.10
Electronic total energy (eV/atom): -1.975

a = 8.114 Å, b = 8.114 Å, c = 6.438 Å
α = 50.94°, β = 50.94°, γ = 90.00°
Sites, in units of the cell vectors:
Ga1 0.096 0.625 0.250
Cd1 0.000 0.000 0.000
Cd2 0.750 0.250 0.500
Ga2 0.654 0.125 0.250
Na1 0.250 0.750 0.500
Ga3 0.375 0.346 0.750
Ga4 0.875 0.904 0.750
Na2 0.500 0.500 0.000